DFT (GGA-PBE) results for a geometry-optimized V8GeC2 structure.

Lattice parameters (Å, degrees): 6.573 9.607 4.289 90.00 102.79 90.00
Space group C2/m (No. 12)
Inequivalent atoms, fractional coordinates:
V 0.000 0.239 0.000 x4
V 0.106 0.000 0.788 x4
V 0.205 0.368 0.600 x8
Ge 0.000 0.500 0.000 x2
C 0.000 0.186 0.500 x4

Results
The density of states at the Fermi level comes out at 18.64 states/eV/cell. Its crystal system is monoclinic. For the total magnetization, the calculation gives 0.001 Bohr magnetons per cell. The total energy is -8.9286 eV per atom.

DFT (GGA-PBE) results for a geometry-optimized V8Ge2C structure.

Lattice parameters (Å, degrees): 14.085 4.157 5.148 90.00 108.98 90.00
Space group C2/m (No. 12)
Inequivalent atoms, fractional coordinates:
V 0.002 0.000 0.269 x4
V 0.085 0.500 0.209 x4
V 0.133 0.500 0.756 x4
V 0.219 0.000 0.616 x4
Ge 0.170 0.000 0.098 x4
C 0.000 0.500 0.500 x2

Results
The density of states at the Fermi level comes out at 15.72 states/eV/cell. Its crystal system is monoclinic. For the total magnetization, the calculation gives 0.000 Bohr magnetons per cell. The total energy is -8.5115 eV per atom.

DFT (GGA-PBE) results for a geometry-optimized V3Ge2C structure.

Lattice parameters (Å, degrees): 6.914 9.185 5.332 90.00 110.51 90.00
Space group C2/c (No. 15)
Inequivalent atoms, fractional coordinates:
V 0.159 0.073 0.002 x8
V 0.250 0.250 0.500 x4
Ge 0.000 0.295 0.750 x4
Ge 0.000 0.437 0.250 x4
C 0.000 0.095 0.250 x4

Results
The density of states at the Fermi level comes out at 17.48 states/eV/cell. Its crystal system is monoclinic. For the total magnetization, the calculation gives 1.392 Bohr magnetons per cell. The total energy is -7.7862 eV per atom.

DFT (GGA-PBE) results for a geometry-optimized V6GeC2 structure.

Lattice parameters (Å, degrees): 9.032 4.079 6.976 90.00 114.75 90.00
Space group C2/m (No. 12)
Inequivalent atoms, fractional coordinates:
V 0.005 0.000 0.168 x4
V 0.180 0.500 0.083 x4
V 0.183 0.500 0.568 x4
Ge 0.000 0.000 0.500 x2
C 0.199 0.000 0.109 x4

Results
The density of states at the Fermi level comes out at 13.74 states/eV/cell. Its crystal system is monoclinic. For the total magnetization, the calculation gives 0.000 Bohr magnetons per cell. The total energy is -8.7023 eV per atom.

DFT (GGA-PBE) results for a geometry-optimized V6GeC structure.

Lattice parameters (Å, degrees): 6.760 5.968 6.411 90.00 118.99 90.00
Space group C2/m (No. 12)
Inequivalent atoms, fractional coordinates:
V 0.122 0.244 0.247 x8
V 0.207 0.500 0.996 x4
Ge 0.000 0.500 0.500 x2
C 0.000 0.000 0.000 x2

Results
The density of states at the Fermi level comes out at 15.66 states/eV/cell. Its crystal system is monoclinic. For the total magnetization, the calculation gives 0.000 Bohr magnetons per cell. The total energy is -8.5749 eV per atom.

DFT (GGA-PBE) results for a geometry-optimized V4GeC2 structure.

Lattice parameters (Å, degrees): 3.077 9.909 10.426 90.00 90.00 90.00
Space group Cmcm (No. 63)
Inequivalent atoms, fractional coordinates:
V 0.000 0.000 0.000 x4
V 0.000 0.259 0.105 x8
V 0.000 0.412 0.750 x4
Ge 0.000 0.107 0.750 x4
C 0.000 0.365 0.560 x8

Results
The density of states at the Fermi level comes out at 18.89 states/eV/cell. Its crystal system is orthorhombic. For the total magnetization, the calculation gives 0.000 Bohr magnetons per cell. The value obtained for the energy above the most stable polymorph in this dataset is 0 meV/atom.